1.
The following is a DFT calculation (PBE) of an optimized crystal structure of LiHg2Cl4.

Summary:
Total magnetic moment (μB per atom): 0.000
ΔE_f (raw) (eV/atom): -0.7687
DOS at the Fermi energy (states/eV/atom): 0.478

Cell lengths 6.683, 6.683, 4.572 Å; angles 90.00, 90.00, 90.00 degrees
Fractional coordinates of all 7 atoms:
Li 0.000 0.000 0.000
Hg 0.000 0.500 0.500
Hg 0.500 0.000 0.500
Cl 0.232 0.232 0.222
Cl 0.232 0.768 0.778
Cl 0.768 0.232 0.778
Cl 0.768 0.768 0.222


2.
The following is a DFT calculation (PBE) of an optimized crystal structure of Li2HgCl5.

Summary:
Total magnetic moment (μB per atom): 0.000
ΔE_f (raw) (eV/atom): -1.0289
DOS at the Fermi energy (states/eV/atom): 0.047

Cell lengths 7.189, 7.189, 11.463 Å; angles 90.00, 90.00, 134.16 degrees
Fractional coordinates of all 16 atoms:
Li 0.180 0.820 0.564
Li 0.180 0.820 0.936
Li 0.820 0.180 0.064
Li 0.820 0.180 0.436
Hg 0.194 0.806 0.250
Hg 0.806 0.194 0.750
Cl 0.057 0.943 0.097
Cl 0.057 0.943 0.403
Cl 0.262 0.738 0.750
Cl 0.319 0.681 0.079
Cl 0.319 0.681 0.421
Cl 0.681 0.319 0.579
Cl 0.681 0.319 0.921
Cl 0.738 0.262 0.250
Cl 0.943 0.057 0.597
Cl 0.943 0.057 0.903


3.
The following is a DFT calculation (PBE) of an optimized crystal structure of Li4HgCl.

Summary:
Total magnetic moment (μB per atom): 0.142
ΔE_f (raw) (eV/atom): -0.2386
DOS at the Fermi energy (states/eV/atom): 0.212

Cell lengths 5.672, 5.672, 5.672 Å; angles 60.00, 60.00, 60.00 degrees
Fractional coordinates of all 6 atoms:
Li 0.376 0.376 0.376
Li 0.376 0.376 0.872
Li 0.376 0.872 0.376
Li 0.872 0.376 0.376
Hg 0.750 0.750 0.750
Cl 0.000 0.000 0.000


4.
The following is a DFT calculation (PBE) of an optimized crystal structure of Li2HgCl.

Summary:
Total magnetic moment (μB per atom): 0.000
ΔE_f (raw) (eV/atom): -0.8968
DOS at the Fermi energy (states/eV/atom): 0.259
Excess energy over the best structure of this formula in the dataset (meV per atom): 43.7

Cell lengths 7.933, 7.933, 3.314 Å; angles 102.00, 102.00, 23.49 degrees
Fractional coordinates of all 4 atoms:
Li 0.000 0.000 0.000
Li 0.200 0.200 0.698
Hg 0.826 0.826 0.322
Cl 0.573 0.573 0.573


5.
The following is a DFT calculation (PBE) of an optimized crystal structure of Li2HgCl.

Summary:
Total magnetic moment (μB per atom): 0.146
ΔE_f (raw) (eV/atom): -0.3379
DOS at the Fermi energy (states/eV/atom): 0.488
Excess energy over the best structure of this formula in the dataset (meV per atom): 602.6

Cell lengths 5.125, 5.125, 5.125 Å; angles 60.00, 60.00, 60.00 degrees
Fractional coordinates of all 4 atoms:
Li 0.000 0.000 0.000
Li 0.250 0.250 0.250
Hg 0.500 0.500 0.500
Cl 0.750 0.750 0.750


6.
The following is a DFT calculation (PBE) of an optimized crystal structure of Li2HgCl.

Summary:
Total magnetic moment (μB per atom): 0.000
ΔE_f (raw) (eV/atom): -0.8159
DOS at the Fermi energy (states/eV/atom): 0.316
Excess energy over the best structure of this formula in the dataset (meV per atom): 124.6

Cell lengths 5.647, 5.647, 5.647 Å; angles 145.72, 106.50, 83.66 degrees
Fractional coordinates of all 4 atoms:
Li 0.197 0.197 0.000
Li 0.803 0.803 0.000
Hg 0.500 0.000 0.500
Cl 0.000 0.500 0.500


7.
The following is a DFT calculation (PBE) of an optimized crystal structure of Li6HgCl8.

Summary:
Total magnetic moment (μB per atom): 0.000
ΔE_f (raw) (eV/atom): -1.5373
DOS at the Fermi energy (states/eV/atom): 0.000

Cell lengths 7.426, 7.426, 7.426 Å; angles 60.00, 60.00, 60.00 degrees
Fractional coordinates of all 15 atoms:
Li 0.000 0.000 0.500
Li 0.000 0.500 0.000
Li 0.000 0.500 0.500
Li 0.500 0.000 0.000
Li 0.500 0.000 0.500
Li 0.500 0.500 0.000
Hg 0.000 0.000 0.000
Cl 0.250 0.250 0.250
Cl 0.255 0.255 0.745
Cl 0.255 0.745 0.255
Cl 0.255 0.745 0.745
Cl 0.745 0.255 0.255
Cl 0.745 0.255 0.745
Cl 0.745 0.745 0.255
Cl 0.750 0.750 0.750


8.
The following is a DFT calculation (PBE) of an optimized crystal structure of Li2HgCl.

Summary:
Total magnetic moment (μB per atom): 0.000
ΔE_f (raw) (eV/atom): -0.7861
DOS at the Fermi energy (states/eV/atom): 0.255
Excess energy over the best structure of this formula in the dataset (meV per atom): 154.4

Cell lengths 7.220, 7.220, 7.220 Å; angles 150.50, 150.50, 42.21 degrees
Fractional coordinates of all 4 atoms:
Li 0.000 0.000 0.000
Li 0.750 0.250 0.500
Hg 0.500 0.500 0.000
Cl 0.250 0.750 0.500


9.
The following is a DFT calculation (PBE) of an optimized crystal structure of Li2Hg3Cl8.

Summary:
Total magnetic moment (μB per atom): 0.000
ΔE_f (raw) (eV/atom): -0.9413
DOS at the Fermi energy (states/eV/atom): 0.000

Cell lengths 7.674, 7.674, 6.408 Å; angles 96.79, 96.79, 75.29 degrees
Fractional coordinates of all 13 atoms:
Li 0.168 0.168 0.111
Li 0.832 0.832 0.889
Hg 0.200 0.800 0.500
Hg 0.500 0.500 0.000
Hg 0.800 0.200 0.500
Cl 0.114 0.638 0.757
Cl 0.131 0.131 0.741
Cl 0.362 0.886 0.243
Cl 0.375 0.375 0.250
Cl 0.625 0.625 0.750
Cl 0.638 0.114 0.757
Cl 0.869 0.869 0.259
Cl 0.886 0.362 0.243


10.
The following is a DFT calculation (PBE) of an optimized crystal structure of LiHg4Cl.

Summary:
Total magnetic moment (μB per atom): 0.000
ΔE_f (raw) (eV/atom): -0.2194
DOS at the Fermi energy (states/eV/atom): 0.059

Cell lengths 6.259, 6.259, 6.259 Å; angles 60.00, 60.00, 60.00 degrees
Fractional coordinates of all 6 atoms:
Li 0.000 0.000 0.000
Hg 0.375 0.375 0.375
Hg 0.375 0.375 0.874
Hg 0.375 0.874 0.375
Hg 0.874 0.375 0.375
Cl 0.750 0.750 0.750


11.
The following is a DFT calculation (PBE) of an optimized crystal structure of Li2HgCl.

Summary:
Total magnetic moment (μB per atom): 0.000
ΔE_f (raw) (eV/atom): -0.7237
DOS at the Fermi energy (states/eV/atom): 0.474
Excess energy over the best structure of this formula in the dataset (meV per atom): 216.8

Cell lengths 4.714, 4.714, 3.581 Å; angles 90.21, 90.21, 90.00 degrees
Fractional coordinates of all 4 atoms:
Li 0.000 0.500 0.000
Li 0.500 0.000 0.000
Hg 0.000 0.000 0.500
Cl 0.500 0.500 0.500


12.
The following is a DFT calculation (PBE) of an optimized crystal structure of Li2HgCl.

Summary:
Total magnetic moment (μB per atom): 0.000
ΔE_f (raw) (eV/atom): -0.7971
DOS at the Fermi energy (states/eV/atom): 0.480
Excess energy over the best structure of this formula in the dataset (meV per atom): 143.4

Cell lengths 3.736, 6.186, 3.743 Å; angles 90.00, 90.00, 90.00 degrees
Fractional coordinates of all 4 atoms:
Li 0.000 0.000 0.000
Li 0.500 0.500 0.328
Hg 0.000 0.500 0.823
Cl 0.500 0.000 0.439


Repeat the first record exactly.
The following is a DFT calculation (PBE) of an optimized crystal structure of LiHg2Cl4.

Summary:
Total magnetic moment (μB per atom): 0.000
ΔE_f (raw) (eV/atom): -0.7687
DOS at the Fermi energy (states/eV/atom): 0.478

Cell lengths 6.683, 6.683, 4.572 Å; angles 90.00, 90.00, 90.00 degrees
Fractional coordinates of all 7 atoms:
Li 0.000 0.000 0.000
Hg 0.000 0.500 0.500
Hg 0.500 0.000 0.500
Cl 0.232 0.232 0.222
Cl 0.232 0.768 0.778
Cl 0.768 0.232 0.778
Cl 0.768 0.768 0.222